The following is a DFT calculation (SCAN) of a PBEsol-optimized structure of LiSb2HI.

Cell: 4.248 4.248 7.256 Å, 90.00 90.00 90.00°
Space group P4/mmm (No. 123)
Unique sites:
Li  0.000  0.000  0.000
Sb  0.000  0.500  0.500
H  0.500  0.500  0.500
I  0.500  0.500  0.000

Values from the calculation:
As for the crystal system: tetragonal. As for the relative energy among the computed polymorphs: 0.00 eV/f.u. The density of states at the Fermi level comes out at 2.21 states/eV/f.u.